[1]
Compound: Ce5Sb2Ru
Source: the Alexandria database
Functional: PBE
Structure: relaxed

Lattice parameters (Å, degrees): 6.534 6.534 7.276 123.84 123.84 67.66
Fractional coordinates of all 8 atoms:
Ce 0.000 0.000 0.000
Ce 0.066 0.575 0.068
Ce 0.067 0.575 0.577
Ce 0.575 0.066 0.068
Ce 0.575 0.067 0.577
Sb 0.066 0.066 0.569
Sb 0.566 0.566 0.068
Ru 0.387 0.387 0.388

Calculated values
For the total DFT energy (no corrections), the calculation gives -6.435 eV per atom. The value obtained for the energy above the most stable polymorph in this dataset is 13.7 kJ per mole of atoms. The calculation puts the formation energy (no corrections) at -0.536 eV/atom.

[2]
Compound: BeCr2Te
Source: the Alexandria database
Functional: PBE
Structure: relaxed

Lattice parameters (Å, degrees): 4.787 4.787 4.787 134.45 134.45 66.39
Fractional coordinates of all 4 atoms:
Be 0.000 0.000 0.000
Cr 0.250 0.750 0.500
Cr 0.500 0.500 0.000
Te 0.750 0.250 0.500

Calculated values
For the total DFT energy (no corrections), the calculation gives -6.033 eV per atom. The value obtained for the energy above the most stable polymorph in this dataset is 16.3 kJ per mole of atoms. The calculation puts the formation energy (no corrections) at 0.496 eV/atom.

[3]
Compound: GaSn2Pb
Source: the Alexandria database
Functional: PBE
Structure: relaxed

Lattice parameters (Å, degrees): 6.884 6.884 6.884 38.67 38.67 38.67
Fractional coordinates of all 4 atoms:
Ga 0.000 0.000 0.000
Sn 0.397 0.397 0.397
Sn 0.592 0.592 0.592
Pb 0.828 0.828 0.828

Calculated values
Its formation enthalpy at 0 K is 0.09 eV/atom. For the total DFT energy (no corrections), the calculation gives -3.594 eV per atom. The value obtained for the energy above the most stable polymorph in this dataset is 5.5 kJ per mole of atoms.

[4]
Compound: BeB6C2
Source: the Alexandria database
Functional: PBE
Structure: relaxed

Lattice parameters (Å, degrees): 2.700 2.914 12.101 90.85 92.20 106.60
Fractional coordinates of all 9 atoms:
Be 0.000 0.000 0.000
B 0.034 0.430 0.162
B 0.422 0.031 0.162
B 0.483 0.494 0.925
B 0.517 0.506 0.075
B 0.578 0.969 0.838
B 0.966 0.570 0.838
C 0.242 0.500 0.500
C 0.758 0.500 0.500

Calculated values
Its formation enthalpy at 0 K is 0.71 eV/atom. For the total DFT energy (no corrections), the calculation gives -6.203 eV per atom.